A plane-wave DFT calculation with PBE was carried out for crystalline Tb4Pm3Mg4 at its relaxed geometry.

Geometry as POSCAR:
```
Tb4Pm3Mg4
1.0
5.4976 0.0000 0.0000
0.0000 7.0050 0.0000
-2.7488 -3.5025 8.7817
Tb Pm Mg
4 3 4
direct
0.3144 0.0768 0.6288
0.6856 0.4479 0.3712
0.6856 0.9232 0.3712
0.3144 0.5521 0.6288
0.1085 0.1085 0.2169
0.8915 0.8915 0.7831
0.0000 0.5000 0.0000
0.1716 0.6716 0.3433
0.8284 0.3284 0.6567
0.5000 0.7834 0.0000
0.5000 0.2166 0.0000
```

Values from the calculation:
**Symmetry**: Immm (71)
**Crystal system**: orthorhombic
**Total DFT energy (no corrections)**: -3.456 eV per atom
**DOS(E_F)**: 12.138 states/eV per cell
**DFT formation energy**: 0.1032 eV per atom